[1]
# AlVS2

A relaxed AlVS2 crystal (PBE, the Alexandria database).

```
4
Lattice="-2.628 -7.211 0.416 0.785 -7.645 0.053 -0.552 -6.978 3.174" Properties=species:S:1:pos:R:3 pbc="T T T"
S -0.256 -2.331 0.389
S -2.139 -19.503 3.255
V 0.000 0.000 0.000
Al -1.197 -10.917 1.822
```

## Properties
**ΔE_f (raw)**: -0.42 eV/atom
**Calculated volume**: 76.9 Å³/f.u.
**Final energy**: -5.699 eV/atom


[2]
# SmDyB12

A relaxed SmDyB12 crystal (PBE, the Alexandria database).

```
14
Lattice="4.107 0.000 0.000 0.000 4.107 0.000 0.000 0.000 8.217" Properties=species:S:1:pos:R:3 pbc="T T T"
B 2.053 0.818 6.172
B 3.289 2.053 2.045
B 2.053 3.289 6.172
B 2.053 2.053 0.813
B 2.053 2.053 7.403
B 2.053 0.818 2.045
B 2.053 2.053 4.929
B 0.818 2.053 2.045
B 2.053 3.289 2.045
B 3.289 2.053 6.172
B 2.053 2.053 3.287
B 0.818 2.053 6.172
Dy 0.000 0.000 0.000
Sm 0.000 0.000 4.108
```

## Properties
**Calculated formation energy**: -5.98 eV/f.u.
**Calculated volume**: 138.6 Å³/f.u.
**Final energy**: -6.817 eV/atom


[3]
# Ba3NbCu2O8

A relaxed Ba3NbCu2O8 crystal (PBE, the Alexandria database).

```
14
Lattice="-4.609 2.987 -1.945 1.108 -5.328 -2.081 -4.299 -3.045 5.509" Properties=species:S:1:pos:R:3 pbc="T T T"
O -2.785 0.158 -1.886
O -6.510 -0.353 1.650
O -5.938 -3.104 0.576
O -1.862 -2.282 0.907
O -5.015 -5.544 3.368
O -3.670 -3.491 -1.172
O -1.290 -5.033 -0.168
O -4.130 -1.895 2.654
Nb -2.149 -1.523 2.755
Ba 0.000 0.000 0.000
Ba -4.211 -0.852 -0.059
Ba -3.589 -4.534 1.541
Cu -1.722 -3.211 -0.852
Cu -6.078 -2.175 2.334
```

## Properties
**ΔE_f (raw)**: -1.93 eV/atom
**Calculated volume**: 224.1 Å³/f.u.
**Final energy**: -6.482 eV/atom


[4]
# In2CuAu

A relaxed In2CuAu crystal (PBE, the Alexandria database).

```
4
Lattice="4.859 0.000 0.000 2.430 4.208 0.000 2.430 1.403 3.968" Properties=species:S:1:pos:R:3 pbc="T T T"
In 2.430 1.403 0.992
In 0.000 0.000 0.000
Cu 7.289 4.208 2.976
Au 4.859 2.806 1.984
```

## Properties
**Calculated formation energy**: 0.59 eV/f.u.
**Calculated volume**: 81.1 Å³/f.u.
**Final energy**: -3.064 eV/atom


[5]
# BaFe2CoBr

A relaxed BaFe2CoBr crystal (PBE, the Alexandria database).

```
5
Lattice="-0.365 -3.603 -4.212 3.528 -2.937 2.206 -3.989 -2.760 2.707" Properties=species:S:1:pos:R:3 pbc="T T T"
Fe -1.995 -1.380 1.353
Fe -0.183 -1.801 -2.106
Ba 0.000 0.000 0.000
Br -0.413 -4.650 0.350
Co 1.764 -1.468 1.103
```

## Properties
**ΔE_f (raw)**: 2.14 eV/atom
**Calculated volume**: 157.2 Å³/f.u.
**Final energy**: -3.389 eV/atom


[6]
# CeY3Er6

A relaxed CeY3Er6 crystal (PBE, the Alexandria database).

```
10
Lattice="5.809 0.000 2.791 2.970 7.140 1.260 -0.245 -1.989 7.950" Properties=species:S:1:pos:R:3 pbc="T T T"
Y 6.436 3.695 8.928
Y 2.098 1.455 3.074
Y 0.000 0.000 0.000
Er 2.846 1.946 8.957
Er 3.356 5.194 4.097
Er 5.687 3.204 3.045
Er 5.177 -0.044 7.904
Er 2.212 -0.044 6.479
Er 6.322 5.194 5.522
Ce 4.267 2.575 6.001
```

## Properties
**Calculated formation energy**: 3.32 eV/f.u.
**Energy above the lowest structure with this stoichiometry**: 1.72 eV per formula unit
**Calculated volume**: 332.7 Å³/f.u.
**Final energy**: -4.938 eV/atom


[7]
# K2LiCeF8

A relaxed K2LiCeF8 crystal (PBE, the Alexandria database).

```
12
Lattice="-0.577 -2.821 2.963 3.846 -3.744 -2.899 6.512 2.265 3.262" Properties=species:S:1:pos:R:3 pbc="T T T"
K 3.393 -2.906 0.648
K 6.388 -1.395 2.678
F 3.802 -0.998 2.550
F 7.401 -1.099 0.281
F 0.574 -1.655 1.051
F 9.208 -2.646 2.275
F 4.305 -5.377 1.365
F 5.979 -3.303 0.776
F 5.477 1.076 1.961
F 2.380 -3.202 3.045
Li 0.000 0.000 0.000
Ce 3.256 1.132 1.631
```

## Properties
**ΔE_f (raw)**: -2.99 eV/atom
**Calculated volume**: 190.0 Å³/f.u.
**Final energy**: -5.070 eV/atom


[8]
# NbCr3Cl

A relaxed NbCr3Cl crystal (PBE, the Alexandria database).

```
5
Lattice="4.139 0.000 0.000 0.000 4.139 0.000 0.000 0.000 4.139" Properties=species:S:1:pos:R:3 pbc="T T T"
Nb 2.070 2.070 2.070
Cr 2.070 0.000 0.000
Cr 0.000 2.070 0.000
Cr 0.000 0.000 2.070
Cl 0.000 0.000 0.000
```

## Properties
**Energy above the lowest structure with this stoichiometry**: 0.00 eV per formula unit
**ΔE_f (raw)**: 0.80 eV/atom
**Calculated volume**: 70.9 Å³/f.u.
**Final energy**: -7.361 eV/atom